# PBEsol Sr2ZnSe, relaxed
data_Sr2ZnSe
_chemical_formula_sum 'Sr6 Zn3 Se3'
_cell_length_a 4.2995
_cell_length_b 4.2995
_cell_length_c 23.6615
_cell_angle_alpha 90.00
_cell_angle_beta 90.00
_cell_angle_gamma 120.00
_symmetry_space_group_name_H-M 'R -3 m'
_symmetry_Int_Tables_number 166
_symmetry_space_group_name_Hall '-R 3 2"'
loop_
_atom_site_label
_atom_site_type_symbol
_atom_site_fract_x
_atom_site_fract_y
_atom_site_fract_z
Sr1 Sr 0.0000 0.0000 0.2434
Zn1 Zn 0.0000 0.0000 0.0000
Se1 Se 0.0000 0.0000 0.5000
# - E_form (uncorrected) (eV/f.u.) = -3.673
# - energy relative to the lowest polymorph listed for this composition (eV/atom) = 0.000